Record 1
DFT (PBE) results for a geometry-optimized RbBaAl2Si structure.

* DFT total energy: -2.139 eV per atom
* space group: P4/mmm

Geometry as POSCAR:
```
RbBaAl2Si
1.0
6.2904 0.0000 0.0000
0.0000 6.2904 0.0000
0.0000 0.0000 5.8280
Rb Ba Al Si
1 1 2 1
direct
0.0000 0.0000 0.0000 Rb
0.5000 0.5000 0.5000 Ba
0.0000 0.5000 0.5000 Al
0.5000 0.0000 0.5000 Al
0.5000 0.5000 0.0000 Si
```

Record 2
DFT (PBE) results for a geometry-optimized Tb3Y2Bi2 structure.

* DFT total energy: -5.414 eV per atom
* energy relative to the elements: -0.474 eV/atom
* space group: C2/m

Geometry as POSCAR:
```
Tb3Y2Bi2
1.0
12.2565 0.0000 0.0000
0.0000 4.3387 0.0000
-2.6779 0.0000 8.2092
Tb Y Bi
6 4 4
direct
0.0000 0.0000 0.0000 Tb
0.1254 0.0000 0.4450 Tb
0.3746 0.5000 0.5550 Tb
0.5000 0.5000 0.0000 Tb
0.6254 0.5000 0.4450 Tb
0.8746 0.0000 0.5550 Tb
0.1253 0.5000 0.7727 Y
0.3747 0.0000 0.2273 Y
0.6253 0.0000 0.7727 Y
0.8747 0.5000 0.2273 Y
0.1762 0.5000 0.1890 Bi
0.3238 0.0000 0.8110 Bi
0.6762 0.0000 0.1890 Bi
0.8238 0.5000 0.8110 Bi
```

Record 3
DFT (PBE) results for a geometry-optimized ReTeRu structure.

* DFT total energy: -7.580 eV per atom
* E above lowest polymorph: 185 meV per atom
* space group: Imm2

Geometry as POSCAR:
```
ReTeRu
1.0
3.0433 0.0000 0.0000
0.0000 4.0526 0.0000
0.0000 0.0000 8.1828
Re Te Ru
2 2 2
direct
0.0000 0.0000 0.0000 Re
0.5000 0.5000 0.5000 Re
0.0000 0.0000 0.3247 Te
0.5000 0.5000 0.8247 Te
0.0000 0.0000 0.6465 Ru
0.5000 0.5000 0.1465 Ru
```

Record 4
DFT (PBE) results for a geometry-optimized NdSm3Pt8 structure.

* DFT total energy: -6.685 eV per atom
* energy relative to the elements: -1.081 eV/atom
* E above lowest polymorph: 0 meV per atom
* space group: R3m

Geometry as POSCAR:
```
NdSm3Pt8
1.0
2.7465 1.5857 8.9782
-2.7465 1.5857 8.9782
0.0000 -3.1714 8.9782
Nd Sm Pt
1 3 8
direct
0.0000 0.0000 0.0000 Nd
0.3752 0.3752 0.3752 Sm
0.5001 0.5001 0.5001 Sm
0.8746 0.8746 0.8746 Sm
0.1875 0.1875 0.1875 Pt
0.4372 0.4372 0.9370 Pt
0.4372 0.9370 0.4372 Pt
0.4383 0.9375 0.9375 Pt
0.6875 0.6875 0.6875 Pt
0.9370 0.4372 0.4372 Pt
0.9375 0.4383 0.9375 Pt
0.9375 0.9375 0.4383 Pt
```

Record 5
DFT (PBE) results for a geometry-optimized ScCuBi2Se5 structure.

* DFT total energy: -4.636 eV per atom
* space group: Cmc2_1

Geometry as POSCAR:
```
ScCuBi2Se5
1.0
2.0160 -9.5102 0.0000
2.0160 9.5102 0.0000
0.0000 0.0000 12.7158
Sc Cu Bi Se
2 2 4 10
direct
0.1941 0.8059 0.5000 Sc
0.8059 0.1941 0.0000 Sc
0.4197 0.5803 0.9437 Cu
0.5803 0.4197 0.4437 Cu
0.0859 0.9141 0.7511 Bi
0.1543 0.8457 0.1691 Bi
0.8457 0.1543 0.6691 Bi
0.9141 0.0859 0.2511 Bi
0.0516 0.9484 0.5402 Se
0.2989 0.7011 0.1526 Se
0.3039 0.6961 0.8586 Se
0.3411 0.6589 0.5151 Se
0.4854 0.5146 0.7789 Se
0.5146 0.4854 0.2789 Se
0.6589 0.3411 0.0151 Se
0.6961 0.3039 0.3586 Se
0.7011 0.2989 0.6526 Se
0.9484 0.0516 0.0402 Se
```

Record 6
DFT (PBE) results for a geometry-optimized FeReRu structure.

* DFT total energy: -9.339 eV per atom
* energy relative to the elements: 0.724 eV/atom
* E above lowest polymorph: 654 meV per atom
* space group: F-43m

Geometry as POSCAR:
```
FeReRu
1.0
0.0000 4.4831 4.4831
4.4831 0.0000 4.4831
4.4831 4.4831 0.0000
Fe Re Ru
4 4 4
direct
0.4065 0.4065 0.4065 Fe
0.4065 0.4065 0.7805 Fe
0.4065 0.7805 0.4065 Fe
0.7805 0.4065 0.4065 Fe
0.1375 0.1375 0.1375 Re
0.1375 0.1375 0.5874 Re
0.1375 0.5874 0.1375 Re
0.5874 0.1375 0.1375 Re
0.4286 0.8571 0.8571 Ru
0.8571 0.4286 0.8571 Ru
0.8571 0.8571 0.4286 Ru
0.8571 0.8571 0.8571 Ru
```

Record 7
DFT (PBE) results for a geometry-optimized CsCaTbO3 structure.

* DFT total energy: -6.291 eV per atom
* space group: P2_1/m

Geometry as POSCAR:
```
CsCaTbO3
1.0
8.3817 0.0000 0.0000
0.0000 3.5674 0.0000
-1.2618 0.0000 10.2312
Cs Ca Tb O
2 2 2 6
direct
0.1675 0.2500 0.1956 Cs
0.8325 0.7500 0.8044 Cs
0.4200 0.7500 0.8799 Ca
0.5800 0.2500 0.1201 Ca
0.1453 0.2500 0.5912 Tb
0.8547 0.7500 0.4088 Tb
0.1137 0.7500 0.4358 O
0.2077 0.7500 0.7201 O
0.4170 0.7500 0.1025 O
0.5830 0.2500 0.8975 O
0.7923 0.2500 0.2799 O
0.8863 0.2500 0.5642 O
```

Record 8
DFT (PBE) results for a geometry-optimized ScSiRu2 structure.

* DFT total energy: -7.911 eV per atom
* space group: P4mm

Geometry as POSCAR:
```
ScSiRu2
1.0
3.2378 0.0000 0.0000
0.0000 3.2378 0.0000
0.0000 0.0000 5.7854
Sc Si Ru
1 1 2
direct
0.0000 0.0000 0.0000 Sc
0.5000 0.5000 0.2920 Si
0.0000 0.0000 0.4653 Ru
0.5000 0.5000 0.7818 Ru
```